Compound: Tb3Ho6Er2Mg
Source: Alexandria
Functional: GGA-PBE
Structure: relaxed

Values from the calculation:
D(E_F) ... 17.09 states/eV/f.u.
Energy ... -4.309 eV per atom
Size of the total moment ... 0.00 μB/f.u.
Calculated formation energy ... 0.0311 eV per atom

Unit cell a=6.0890 b=10.5500 c=11.6007 alpha=90.00 beta=100.15 gamma=90.00
Space group C2/m (No. 12)
Asymmetric unit:
Tb: 0.0000 0.0000 0.0000
Tb: 0.0000 0.3340 0.0000
Ho: 0.2483 0.0000 0.7480
Ho: 0.2481 0.3335 0.7470
Er: 0.0000 0.1663 0.5000
Mg: 0.0000 0.5000 0.5000